# 1
! URu2W (PBE-GGA, optimized geometry); values from VASP
! Magnetization   0.004 μB/atom
! E_form   0.160 eV/atom
! E above lowest polymorph   167.2 meV/atom
! DOS at the Fermi energy   1.58 states/eV/atom
! VASP energy   -42.15 eV for the cell shown
&SYSTEM
  ibrav = 0, nat = 4, ntyp = 3
/
ATOMIC_SPECIES
Ru 101.07 Ru.upf
U 238.03 U.upf
W 183.84 W.upf
CELL_PARAMETERS angstrom
2.8526 0.0000 0.0000
1.4263 2.4704 0.0000
1.4263 0.8235 9.2920
ATOMIC_POSITIONS crystal
Ru 0.7567 0.7567 0.7299
Ru 0.2433 0.2433 0.2701
U 0.0000 0.0000 0.0000
W 0.5000 0.5000 0.5000


# 2
! URu2W (PBE-GGA, optimized geometry); values from VASP
! Magnetization   0.000 μB/atom
! E_form   -0.007 eV/atom
! E above lowest polymorph   0.0 meV/atom
! DOS at the Fermi energy   1.41 states/eV/atom
! VASP energy   -42.82 eV for the cell shown
&SYSTEM
  ibrav = 0, nat = 4, ntyp = 3
/
ATOMIC_SPECIES
Ru 101.07 Ru.upf
U 238.03 U.upf
W 183.84 W.upf
CELL_PARAMETERS angstrom
-2.0532 1.4718 -2.7304
1.8505 -2.5995 -2.7928
-3.0131 -2.8998 0.7026
ATOMIC_POSITIONS crystal
Ru 0.0000 0.0000 0.5000
Ru 0.0000 0.5000 0.0000
U 0.5000 0.0000 0.0000
W 0.5000 0.5000 0.5000


# 3
! Y2U2Ru3 (PBE-GGA, optimized geometry); values from VASP
! Magnetization   0.011 μB/atom
! E_form   -0.296 eV/atom
! DOS at the Fermi energy   1.48 states/eV/atom
! VASP energy   -65.41 eV for the cell shown
&SYSTEM
  ibrav = 0, nat = 7, ntyp = 3
/
ATOMIC_SPECIES
Y 88.91 Y.upf
U 238.03 U.upf
Ru 101.07 Ru.upf
CELL_PARAMETERS angstrom
3.6822 0.1283 0.9170
-1.8390 5.2810 -1.1901
1.9155 -0.5561 8.0602
ATOMIC_POSITIONS crystal
Y 0.7446 0.7492 0.6305
Y 0.2554 0.2508 0.3695
U 0.7454 0.3248 0.9171
U 0.2546 0.6752 0.0829
Ru 0.0000 0.0000 0.0000
Ru 0.5618 0.7836 0.3298
Ru 0.4382 0.2164 0.6702